No. 1
Computed, not measured: a geometry-optimized LiCa structure at the PBE-GGA level of DFT.

The structure in CIF format:
```
data_LiCa
_symmetry_space_group_name_H-M 'I -4 3 m'
_symmetry_Int_Tables_number 217
_symmetry_space_group_name_Hall 'I -4 2 3'
_cell_length_a 9.373
_cell_length_b 9.373
_cell_length_c 9.373
_cell_angle_alpha 90.00
_cell_angle_beta 90.00
_cell_angle_gamma 90.00
loop_
_atom_site_label
_atom_site_type_symbol
_atom_site_fract_x
_atom_site_fract_y
_atom_site_fract_z
_atom_site_occupancy
Li1 Li 0.102 0.102 0.102 1
Ca1 Ca 0.209 0.209 0.791 1
```

Output
Uncorrected energy ... -22.0 eV/cell
ΔH_f (0 K) ... 584.6 meV per atom
Total magnetization ... 0.000 μB per atom

---

No. 2
Computed, not measured: a geometry-optimized TbPrNd2Ho5 structure at the PBE-GGA level of DFT.

The structure in CIF format:
```
data_TbPrNd2Ho5
_symmetry_space_group_name_H-M 'I 4/m c m'
_symmetry_Int_Tables_number 140
_symmetry_space_group_name_Hall '-I 4 2c'
_cell_length_a 8.742
_cell_length_b 8.742
_cell_length_c 15.496
_cell_angle_alpha 90.00
_cell_angle_beta 90.00
_cell_angle_gamma 90.00
loop_
_atom_site_label
_atom_site_type_symbol
_atom_site_fract_x
_atom_site_fract_y
_atom_site_fract_z
_atom_site_occupancy
Tb1 Tb 0.000 0.500 0.250 1
Pr1 Pr 0.000 0.000 0.250 1
Nd1 Nd 0.117 0.383 0.000 1
Ho1 Ho 0.000 0.000 0.000 1
Ho2 Ho 0.210 0.290 0.363 1
```

Output
Uncorrected energy ... -158.0 eV/cell
ΔH_f (0 K) ... 259.5 meV per atom
Total magnetization ... 0.000 μB per atom

---

No. 3
Computed, not measured: a geometry-optimized Be2GaCo structure at the PBE-GGA level of DFT.

The structure in CIF format:
```
data_Be2GaCo
_symmetry_space_group_name_H-M 'P 4/m m m'
_symmetry_Int_Tables_number 123
_symmetry_space_group_name_Hall '-P 4 2'
_cell_length_a 3.491
_cell_length_b 3.491
_cell_length_c 3.330
_cell_angle_alpha 90.00
_cell_angle_beta 90.00
_cell_angle_gamma 90.00
loop_
_atom_site_label
_atom_site_type_symbol
_atom_site_fract_x
_atom_site_fract_y
_atom_site_fract_z
_atom_site_occupancy
Be1 Be 0.000 0.500 0.000 1
Ga1 Ga 0.000 0.000 0.500 1
Co1 Co 0.500 0.500 0.500 1
```

Output
Uncorrected energy ... -18.1 eV/cell
ΔH_f (0 K) ... -131.5 meV per atom
Total magnetization ... 0.000 μB per atom

---

No. 4
Computed, not measured: a geometry-optimized AuS2ClF structure at the PBE-GGA level of DFT.

The structure in CIF format:
```
data_AuS2ClF
_symmetry_space_group_name_H-M 'P 4/m m m'
_symmetry_Int_Tables_number 123
_symmetry_space_group_name_Hall '-P 4 2'
_cell_length_a 4.045
_cell_length_b 4.045
_cell_length_c 6.794
_cell_angle_alpha 90.00
_cell_angle_beta 90.00
_cell_angle_gamma 90.00
loop_
_atom_site_label
_atom_site_type_symbol
_atom_site_fract_x
_atom_site_fract_y
_atom_site_fract_z
_atom_site_occupancy
Au1 Au 0.000 0.000 0.000 1
S1 S 0.000 0.500 0.500 1
Cl1 Cl 0.500 0.500 0.000 1
F1 F 0.500 0.500 0.500 1
```

Output
ΔE_f (raw) ... 0.7033 eV per atom
Uncorrected energy ... -11.7 eV/cell
Total magnetization ... 0.000 μB per atom

---

No. 5
Computed, not measured: a geometry-optimized SmGdScOs structure at the PBE-GGA level of DFT.

The structure in CIF format:
```
data_SmGdScOs
_symmetry_space_group_name_H-M 'F -4 3 m'
_symmetry_Int_Tables_number 216
_symmetry_space_group_name_Hall 'F -4 2 3'
_cell_length_a 7.185
_cell_length_b 7.185
_cell_length_c 7.185
_cell_angle_alpha 90.00
_cell_angle_beta 90.00
_cell_angle_gamma 90.00
loop_
_atom_site_label
_atom_site_type_symbol
_atom_site_fract_x
_atom_site_fract_y
_atom_site_fract_z
_atom_site_occupancy
Sm1 Sm 0.000 0.000 0.000 1
Gd1 Gd 0.000 0.000 0.500 1
Sc1 Sc 0.250 0.250 0.250 1
Os1 Os 0.250 0.250 0.750 1
```

Output
Uncorrected energy ... -144.0 eV/cell
ΔH_f (0 K) ... 88.4 meV per atom
Total magnetization ... 1.775 μB per atom

---

No. 6
Computed, not measured: a geometry-optimized HfMnTc3 structure at the PBE-GGA level of DFT.

The structure in CIF format:
```
data_HfMnTc3
_symmetry_space_group_name_H-M 'P m -3 m'
_symmetry_Int_Tables_number 221
_symmetry_space_group_name_Hall '-P 4 2 3'
_cell_length_a 4.417
_cell_length_b 4.417
_cell_length_c 4.417
_cell_angle_alpha 90.00
_cell_angle_beta 90.00
_cell_angle_gamma 90.00
loop_
_atom_site_label
_atom_site_type_symbol
_atom_site_fract_x
_atom_site_fract_y
_atom_site_fract_z
_atom_site_occupancy
Hf1 Hf 0.000 0.000 0.000 1
Mn1 Mn 0.500 0.500 0.500 1
Tc1 Tc 0.000 0.500 0.500 1
```

Output
Uncorrected energy ... -46.9 eV/cell
ΔH_f (0 K) ... 656.7 meV per atom
Total magnetization ... 0.000 μB per atom

---

> The lowest uncorrected energy belongs to which entry?

TbPrNd2Ho5

---

Please write out number 6 again, unchanged.
Computed, not measured: a geometry-optimized HfMnTc3 structure at the PBE-GGA level of DFT.

The structure in CIF format:
```
data_HfMnTc3
_symmetry_space_group_name_H-M 'P m -3 m'
_symmetry_Int_Tables_number 221
_symmetry_space_group_name_Hall '-P 4 2 3'
_cell_length_a 4.417
_cell_length_b 4.417
_cell_length_c 4.417
_cell_angle_alpha 90.00
_cell_angle_beta 90.00
_cell_angle_gamma 90.00
loop_
_atom_site_label
_atom_site_type_symbol
_atom_site_fract_x
_atom_site_fract_y
_atom_site_fract_z
_atom_site_occupancy
Hf1 Hf 0.000 0.000 0.000 1
Mn1 Mn 0.500 0.500 0.500 1
Tc1 Tc 0.000 0.500 0.500 1
```

Output
Uncorrected energy ... -46.9 eV/cell
ΔH_f (0 K) ... 656.7 meV per atom
Total magnetization ... 0.000 μB per atom

---

> Look up the total magnetization of the fifth one.

1.775 μB per atom

---

Repeat the fourth record exactly.
Computed, not measured: a geometry-optimized AuS2ClF structure at the PBE-GGA level of DFT.

The structure in CIF format:
```
data_AuS2ClF
_symmetry_space_group_name_H-M 'P 4/m m m'
_symmetry_Int_Tables_number 123
_symmetry_space_group_name_Hall '-P 4 2'
_cell_length_a 4.045
_cell_length_b 4.045
_cell_length_c 6.794
_cell_angle_alpha 90.00
_cell_angle_beta 90.00
_cell_angle_gamma 90.00
loop_
_atom_site_label
_atom_site_type_symbol
_atom_site_fract_x
_atom_site_fract_y
_atom_site_fract_z
_atom_site_occupancy
Au1 Au 0.000 0.000 0.000 1
S1 S 0.000 0.500 0.500 1
Cl1 Cl 0.500 0.500 0.000 1
F1 F 0.500 0.500 0.500 1
```

Output
ΔE_f (raw) ... 0.7033 eV per atom
Uncorrected energy ... -11.7 eV/cell
Total magnetization ... 0.000 μB per atom